Record 1
MgAlV GGA-PBE relaxed; raw total energy = -4.7855 eV/atom; crystal system = monoclinic; polymorph energy (0 for the lowest one) = 37 meV/atom
1.0
-1.8563 -1.0099 1.8794
2.6498 -2.9960 1.0073
3.6510 5.1567 5.7328
V Mg Al
2 2 2
direct
0.5612 0.0000 0.6460
0.5134 0.0000 0.9277
0.5302 0.0000 0.2673
0.0485 0.5000 0.4588
0.0430 0.5000 0.7782
0.0198 0.5000 0.0844

Record 2
MgAl4V GGA-PBE relaxed; raw total energy = -4.2610 eV/atom; crystal system = cubic
1.0
5.2019 0.0000 0.0000
2.6010 4.5050 0.0000
2.6010 1.5017 4.2473
Mg Al V
1 4 1
direct
0.2500 0.2500 0.2500
0.6252 0.6252 0.6252
0.1244 0.6252 0.6252
0.6252 0.1244 0.6252
0.6252 0.6252 0.1244
0.0000 0.0000 0.0000

Record 3
MgAlV GGA-PBE relaxed; raw total energy = -4.8018 eV/atom; crystal system = monoclinic; polymorph energy (0 for the lowest one) = 21 meV/atom
1.0
-5.7913 -3.9685 -0.5548
1.4618 -1.8498 -2.0274
5.5110 -3.5230 7.1879
V Mg Al
4 4 4
direct
0.0645 0.5000 0.6793
0.9355 0.5000 0.3207
0.9355 0.0000 0.8207
0.0645 0.0000 0.1793
0.4016 0.5000 0.3389
0.5984 0.0000 0.1611
0.5984 0.5000 0.6611
0.4016 0.0000 0.8389
0.2063 0.0000 0.5079
0.7937 0.5000 0.9921
0.7937 0.0000 0.4921
0.2063 0.5000 0.0079

Record 4
MgAlV GGA-PBE relaxed; raw total energy = -4.7935 eV/atom; crystal system = monoclinic; polymorph energy (0 for the lowest one) = 29 meV/atom
1.0
6.2985 0.0000 0.0281
0.0000 3.4758 0.0000
-3.2933 0.0000 9.0991
Mg Al V
4 4 4
direct
0.5526 0.5000 0.0990
0.7251 0.5000 0.4209
0.7251 0.0000 0.9209
0.5526 0.0000 0.5990
0.2171 0.0000 0.9265
0.9130 0.0000 0.2526
0.9130 0.5000 0.7526
0.2171 0.5000 0.4265
0.0834 0.5000 0.1010
0.3464 0.0000 0.2529
0.0834 0.0000 0.6010
0.3464 0.5000 0.7529

Record 5
MgAl4W GGA-PBE relaxed; raw total energy = -4.8977 eV/atom; crystal system = cubic
1.0
4.4258 -2.4303 -0.9243
3.3424 -0.7851 3.8158
0.7528 -4.7411 1.8176
Al Mg W
4 1 1
direct
0.3751 0.8747 0.3751
0.3751 0.3751 0.8747
0.3751 0.3751 0.3751
0.8747 0.3751 0.3751
0.7500 0.7500 0.7500
0.0000 0.0000 0.0000

Record 6
Mg2AlW2 GGA-PBE relaxed; raw total energy = -5.5931 eV/atom; crystal system = tetragonal; polymorph energy (0 for the lowest one) = 216 meV/atom
1.0
7.4778 0.0000 0.0000
0.0000 7.4778 0.0000
0.0000 0.0000 3.0470
Mg W Al
4 4 2
direct
0.6219 0.1219 0.0000
0.3781 0.8781 0.0000
0.8781 0.6219 0.0000
0.1219 0.3781 0.0000
0.8221 0.3221 0.5000
0.1779 0.6779 0.5000
0.6779 0.8221 0.5000
0.3221 0.1779 0.5000
0.5000 0.5000 0.0000
0.0000 0.0000 0.0000

Record 7
Mg2AlW2 GGA-PBE relaxed; raw total energy = -5.8091 eV/atom; crystal system = tetragonal; polymorph energy (0 for the lowest one) = 0 meV/atom
1.0
3.6689 0.0000 0.0000
0.0000 3.6689 0.0000
1.8344 1.8344 7.5557
Mg W Al
2 2 1
direct
0.4011 0.4011 0.1978
0.5989 0.5989 0.8022
0.2500 0.7500 0.5000
0.7500 0.2500 0.5000
0.0000 0.0000 0.0000

Record 8
MgAl3W GGA-PBE relaxed; raw total energy = -4.5499 eV/atom; crystal system = cubic; polymorph energy (0 for the lowest one) = 0 meV/atom
1.0
-0.1972 4.5452 1.7676
-4.0441 -1.1410 2.4830
2.7255 -1.3643 3.8121
Al Mg W
3 1 1
direct
0.0000 0.0000 0.5000
0.5000 0.0000 0.0000
0.0000 0.5000 0.0000
0.5000 0.5000 0.5000
0.0000 0.0000 0.0000

What did we get for energy of formation? Answer: 0.10, 0.12, 0.05, 0.08, 0.13, 4.87, 3.79, 3.03 eV per formula unit, in the order shown.
What did we get for total moment? Answer: 0.00, 0.18, 0.00, 0.05, 0.00, 0.00, 0.00, 0.00 μB per atom, in the order shown.